Here is a geometry-optimized Mg15W structure from Alexandria via LeMat-Bulk. Energies are from GGA-PBE.

a b c (Å): 6.2790 6.2790 10.1521
angles (deg): 90.00 90.00 120.00
Last column: nearest neighbours and their distance in Å.
Fractional coordinates of all 16 atoms:
1 Mg 0.1607 0.8393 0.2373  1 W 2.98, 11 Mg 3.03-3.25
2 Mg 0.5011 0.4989 0.0000  10 Mg 3.04-3.16, 2 W 3.14
3 Mg 0.4982 0.9965 0.5000  12 Mg 3.10-3.24
4 Mg 0.9978 0.4989 0.0000  10 Mg 3.04-3.16, 2 W 3.14
5 Mg 0.1607 0.8393 0.7627  1 W 2.98, 11 Mg 3.03-3.25
6 Mg 0.0000 0.0000 0.5000  12 Mg 3.14-3.19
7 Mg 0.1607 0.3214 0.7627  1 W 2.98, 11 Mg 3.03-3.25
8 W 0.0000 0.0000 0.0000  12 Mg 2.98-3.14
9 Mg 0.6667 0.3333 0.7460  12 Mg 3.10-3.15
10 Mg 0.4982 0.5018 0.5000  12 Mg 3.10-3.24
11 Mg 0.6667 0.3333 0.2540  12 Mg 3.10-3.15
12 Mg 0.6786 0.8393 0.2373  1 W 2.98, 11 Mg 3.03-3.25
13 Mg 0.0035 0.5018 0.5000  12 Mg 3.10-3.24
14 Mg 0.5011 0.0022 0.0000  10 Mg 3.04-3.16, 2 W 3.14
15 Mg 0.1607 0.3214 0.2373  1 W 2.98, 11 Mg 3.03-3.25
16 Mg 0.6786 0.8393 0.7627  1 W 2.98, 11 Mg 3.03-3.25

Properties
Crystal system: hexagonal
Energy of formation, eV/atom: 0.14

***

Here is a geometry-optimized CuNi2HgCl structure from Alexandria via LeMat-Bulk. Energies are from GGA-PBE.

a b c (Å): 4.0539 6.1229 4.0539
angles (deg): 90.00 90.00 90.00
Last column: nearest neighbours and their distance in Å.
Fractional coordinates of all 5 atoms:
1 Hg 0.0000 0.5000 0.0000  4 Cu 2.87, 2 Cl 3.06
2 Cu 0.5000 0.5000 0.5000  4 Hg 2.87
3 Ni 0.0000 0.0000 0.5000  2 Cl 2.03
4 Cl 0.0000 0.0000 0.0000  4 Ni 2.03
5 Ni 0.5000 0.0000 0.0000  2 Cl 2.03

Properties
Crystal system: tetragonal
Uncorrected formation energy, eV per atom: 0.6871

***

Here is a geometry-optimized GaNiS2 structure from Alexandria via LeMat-Bulk. Energies are from GGA-PBE.

a b c (Å): 3.6761 3.6761 18.6099
angles (deg): 90.00 90.00 120.00
Last column: nearest neighbours and their distance in Å.
Fractional coordinates of all 12 atoms:
1 Ga 0.0000 0.0000 0.5948  4 S 2.27-2.39
2 S 0.3333 0.6667 0.6533  1 Ni 2.28, 3 Ga 2.39
3 Ni 0.6667 0.3333 0.4424  4 S 2.20-2.28
4 S 0.3333 0.6667 0.1393  3 Ni 2.20, 1 Ga 2.27
5 S 0.6667 0.3333 0.3200  1 Ni 2.28, 3 Ga 2.39
6 S 0.0000 0.0000 0.4727  3 Ni 2.20, 1 Ga 2.27
7 S 0.0000 0.0000 0.9866  1 Ni 2.28, 3 Ga 2.39
8 Ga 0.6667 0.3333 0.9282  4 S 2.27-2.39
9 Ni 0.0000 0.0000 0.1091  4 S 2.20-2.28
10 S 0.6667 0.3333 0.8060  3 Ni 2.20, 1 Ga 2.27
11 Ga 0.3333 0.6667 0.2615  4 S 2.27-2.39
12 Ni 0.3333 0.6667 0.7757  4 S 2.20-2.28

Properties
Crystal system: trigonal
Uncorrected formation energy, eV per atom: -0.4788

***

Here is a geometry-optimized ScSn3C structure from Alexandria via LeMat-Bulk. Energies are from GGA-PBE.

a b c (Å): 5.5324 5.5324 5.5324
angles (deg): 90.00 90.00 90.00
Last column: nearest neighbours and their distance in Å.
Fractional coordinates of all 5 atoms:
1 Sn 0.0000 0.0000 0.5000  2 Sc 2.77
2 C 0.5000 0.5000 0.5000  12 Sn 3.91
3 Sc 0.0000 0.0000 0.0000  6 Sn 2.77
4 Sn 0.0000 0.5000 0.0000  2 Sc 2.77
5 Sn 0.5000 0.0000 0.0000  2 Sc 2.77

Properties
Crystal system: cubic
Energy of formation, eV/atom: 1.68

***

Number 1: M_tot 1.16 Bohr magnetons per cell, calculated total energy -2.17 eV per atom. Number 2: M_tot 0.00 Bohr magnetons per cell, calculated total energy -2.87 eV per atom. Number 3: M_tot 0.00 Bohr magnetons per cell, calculated total energy -4.74 eV per atom. Number 4: M_tot 1.91 Bohr magnetons per cell, calculated total energy -3.84 eV per atom.